ZrTl2Br6: optimized geometry, PBE.

The structure in POSCAR format:
```
ZrTl2Br6
1.0
7.418 0.000 0.000
0.000 7.418 0.000
0.000 0.000 10.938
Br Tl Zr
12 4 2
Direct
0.300 0.191 0.000
0.809 0.300 0.000
0.191 0.700 0.000
0.700 0.809 0.000
0.000 0.000 0.242
0.500 0.500 0.258
0.309 0.200 0.500
0.800 0.309 0.500
0.200 0.691 0.500
0.691 0.800 0.500
0.500 0.500 0.742
0.000 0.000 0.758
0.500 0.000 0.250
0.000 0.500 0.250
0.500 0.000 0.750
0.000 0.500 0.750
0.000 0.000 0.000
0.500 0.500 0.500
```

**Total moment**: 0.00 μB per cell
**Relative energy among the computed polymorphs**: 5 meV per atom
**DFT total energy**: -67.736 eV per cell